(1)
# YAsP2 PBE optimized geometry
# SG	R3m
# formation energy	-0.3855	eV/atom
# DOS(E_F)	0.32	states/eV/f.u.
# total moment	0.0	μB/f.u.
data_YAsP2
_chemical_formula_sum 'Y1 As1 P2'
_cell_length_a 6.881
_cell_length_b 6.881
_cell_length_c 6.881
_cell_angle_alpha 32.16
_cell_angle_beta 32.16
_cell_angle_gamma 32.16
_space_group_name_H-M_alt 'P 1'
_space_group_IT_number 1
loop_
_space_group_symop_operation_xyz
'x,y,z'
loop_
_atom_site_label
_atom_site_type_symbol
_atom_site_fract_x
_atom_site_fract_y
_atom_site_fract_z
Y1 Y 0.000 0.000 0.000
As1 As 0.233 0.233 0.233
P1 P 0.493 0.493 0.493
P2 P 0.755 0.755 0.755

=====

(2)
# PmTiCuPt2 PBE optimized geometry
# SG	I-4m2
# formation energy	-0.7676	eV/atom
# DOS(E_F)	3.12	states/eV/f.u.
# total moment	0.0	μB/f.u.
data_PmTiCuPt2
_chemical_formula_sum 'Pm1 Ti1 Cu1 Pt2'
_cell_length_a 6.765
_cell_length_b 6.765
_cell_length_c 6.765
_cell_angle_alpha 146.22
_cell_angle_beta 146.22
_cell_angle_gamma 48.51
_space_group_name_H-M_alt 'P 1'
_space_group_IT_number 1
loop_
_space_group_symop_operation_xyz
'x,y,z'
loop_
_atom_site_label
_atom_site_type_symbol
_atom_site_fract_x
_atom_site_fract_y
_atom_site_fract_z
Pm1 Pm 0.000 0.000 0.000
Ti1 Ti 0.250 0.750 0.500
Cu1 Cu 0.750 0.250 0.500
Pt1 Pt 0.389 0.389 0.000
Pt2 Pt 0.611 0.611 0.000

=====

(3)
# VSiPPd2 PBE optimized geometry
# SG	P4/mmm
# uncorrected formation energy	604	meV/atom
# DOS(E_F)	5.91	states/eV/f.u.
# total moment	0.2	μB/f.u.
data_VSiPPd2
_chemical_formula_sum 'V1 Si1 P1 Pd2'
_cell_length_a 4.438
_cell_length_b 4.438
_cell_length_c 4.580
_cell_angle_alpha 90.00
_cell_angle_beta 90.00
_cell_angle_gamma 90.00
_space_group_name_H-M_alt 'P 1'
_space_group_IT_number 1
loop_
_space_group_symop_operation_xyz
'x,y,z'
loop_
_atom_site_label
_atom_site_type_symbol
_atom_site_fract_x
_atom_site_fract_y
_atom_site_fract_z
V1 V 0.000 0.000 0.000
Si1 Si 0.500 0.500 0.000
P1 P 0.500 0.500 0.500
Pd1 Pd 0.000 0.500 0.500
Pd2 Pd 0.500 0.000 0.500